# Sr2Si7Ir12

Crystalline Sr2Si7Ir12 at its relaxed geometry (PBE, Alexandria via LeMat-Bulk).

## Properties
E_form (uncorrected), eV/atom: -0.675
Final energy, eV per formula unit: -161.8

Lattice parameters (Å, degrees): 9.7828 9.7828 3.9370 90.00 90.00 120.00
Positions (direct):
Sr 0.0000 0.0000 0.0000
Sr 0.3333 0.6667 0.5000
Si 0.0736 0.4482 0.0000
Si 0.2663 0.2228 0.5000
Si 0.3746 0.9264 0.0000
Si 0.5518 0.6254 0.0000
Si 0.6667 0.3333 0.0000
Si 0.7772 0.0435 0.5000
Si 0.9565 0.7337 0.5000
Ir 0.0526 0.2814 0.5000
Ir 0.1021 0.7086 0.0000
Ir 0.2288 0.9474 0.5000
Ir 0.2914 0.3935 0.0000
Ir 0.3959 0.1790 0.0000
Ir 0.5372 0.4333 0.5000
Ir 0.5667 0.1039 0.5000
Ir 0.6065 0.8979 0.0000
Ir 0.7186 0.7712 0.5000
Ir 0.7831 0.6041 0.0000
Ir 0.8210 0.2169 0.0000
Ir 0.8961 0.4628 0.5000

---

# NdSc2In3

Crystalline NdSc2In3 at its relaxed geometry (PBE, Alexandria via LeMat-Bulk).

## Properties
Final energy, eV per formula unit: -28.3
DFT formation energy, eV per atom: -0.44

Lattice parameters (Å, degrees): 3.6263 3.6263 11.2340 90.00 90.00 90.00
Positions (direct):
Nd 0.0000 0.0000 0.0000
Sc 0.0000 0.0000 0.3455
Sc 0.0000 0.0000 0.6545
In 0.5000 0.5000 0.1917
In 0.5000 0.5000 0.5000
In 0.5000 0.5000 0.8083

---

# TiAs

Crystalline TiAs at its relaxed geometry (PBE, Alexandria via LeMat-Bulk).

## Properties
Final energy, eV per formula unit: -12.9
DFT formation energy, eV per atom: -0.19

Lattice parameters (Å, degrees): 7.1105 7.1105 7.1105 90.00 90.00 90.00
Positions (direct):
Ti 0.0000 0.2500 0.5000
Ti 0.0000 0.7500 0.5000
Ti 0.2500 0.5000 0.0000
Ti 0.5000 0.0000 0.2500
Ti 0.5000 0.0000 0.7500
Ti 0.7500 0.5000 0.0000
As 0.0000 0.5000 0.2500
As 0.0000 0.5000 0.7500
As 0.2500 0.0000 0.5000
As 0.5000 0.2500 0.0000
As 0.5000 0.7500 0.0000
As 0.7500 0.0000 0.5000

---

# NaCrCl2

Crystalline NaCrCl2 at its relaxed geometry (PBE, Alexandria via LeMat-Bulk).

## Properties
E_form (uncorrected), eV/atom: -0.891
Final energy, eV per formula unit: -18.2
Energy relative to the lowest polymorph listed for this composition, eV/f.u.: 0.00

Lattice parameters (Å, degrees): 4.1533 4.1533 22.9381 90.00 90.00 120.00
Positions (direct):
Na 0.0000 0.0000 0.0000
Na 0.3333 0.6667 0.6667
Na 0.6667 0.3333 0.3333
Cr 0.0000 0.0000 0.5000
Cr 0.3333 0.6667 0.1667
Cr 0.6667 0.3333 0.8333
Cl 0.0000 0.0000 0.3987
Cl 0.0000 0.0000 0.6013
Cl 0.3333 0.6667 0.0654
Cl 0.3333 0.6667 0.2680
Cl 0.6667 0.3333 0.7320
Cl 0.6667 0.3333 0.9346

---

# Ba3Hg4Au2

Crystalline Ba3Hg4Au2 at its relaxed geometry (PBE, Alexandria via LeMat-Bulk).

## Properties
Final energy, eV per formula unit: -18.7
DFT formation energy, eV per atom: -0.57

Lattice parameters (Å, degrees): 6.6768 6.6768 9.8002 108.44 108.44 44.54
Positions (direct):
Ba 0.0000 0.0000 0.0000
Ba 0.3298 0.3298 0.3410
Ba 0.6702 0.6702 0.6590
Hg 0.0484 0.0484 0.3786
Hg 0.2771 0.2771 0.9377
Hg 0.7229 0.7229 0.0623
Hg 0.9516 0.9516 0.6214
Au 0.3927 0.3927 0.7247
Au 0.6073 0.6073 0.2753

---

# SrPr3Tl2

Crystalline SrPr3Tl2 at its relaxed geometry (PBE, Alexandria via LeMat-Bulk).

## Properties
Final energy, eV per formula unit: -22.4
Energy relative to the lowest polymorph listed for this composition, eV/f.u.: 0.00
DFT formation energy, eV per atom: -0.28

Lattice parameters (Å, degrees): 5.6198 9.8186 7.2038 90.00 90.00 90.00
Positions (direct):
Sr 0.0000 0.0209 0.0000
Sr 0.0000 0.9791 0.5000
Pr 0.0000 0.3370 0.7238
Pr 0.0000 0.6630 0.2238
Pr 0.5000 0.1722 0.2727
Pr 0.5000 0.4829 0.9942
Pr 0.5000 0.5171 0.4942
Pr 0.5000 0.8278 0.7727
Tl 0.0000 0.3359 0.2460
Tl 0.0000 0.6641 0.7460
Tl 0.5000 0.1657 0.7498
Tl 0.5000 0.8343 0.2498

---

# Ba2CdP

Crystalline Ba2CdP at its relaxed geometry (PBE, Alexandria via LeMat-Bulk).

## Properties
Final energy, eV per formula unit: -12.2
Energy relative to the lowest polymorph listed for this composition, eV/f.u.: 0.57
DFT formation energy, eV per atom: -0.50

Lattice parameters (Å, degrees): 4.2420 5.1252 12.1412 90.00 90.00 90.00
Positions (direct):
Ba 0.0000 0.0000 0.0000
Ba 0.0000 0.5000 0.2138
Ba 0.5000 0.0000 0.7138
Ba 0.5000 0.5000 0.5000
Cd 0.0000 0.5000 0.7948
Cd 0.5000 0.0000 0.2948
P 0.0000 0.0000 0.4474
P 0.5000 0.5000 0.9474

---

# KHoZnF6

Crystalline KHoZnF6 at its relaxed geometry (PBE, Alexandria via LeMat-Bulk).

## Properties
E_form (uncorrected), eV/atom: -3.208
Final energy, eV per formula unit: -47.0

Lattice parameters (Å, degrees): 7.8912 7.8912 7.8912 122.34 117.91 89.82
Positions (direct):
K 0.2747 0.0247 0.2500
K 0.7253 0.9753 0.7500
Ho 0.0000 0.5000 0.5000
Ho 0.5000 0.5000 0.0000
Zn 0.0000 0.0000 0.5000
Zn 0.0000 0.5000 0.0000
F 0.0426 0.3985 0.2110
F 0.0426 0.8316 0.6441
F 0.0444 0.7944 0.2500
F 0.3125 0.1684 0.7110
F 0.3125 0.6015 0.1441
F 0.3247 0.5747 0.7500
F 0.6753 0.4253 0.2500
F 0.6875 0.3985 0.8559
F 0.6875 0.8316 0.2890
F 0.9556 0.2056 0.7500
F 0.9574 0.1684 0.3559
F 0.9574 0.6015 0.7890